5
Lattice="-0.0876 -2.7558 3.0180 -2.5311 -2.1689 -2.0539 3.1175 -1.9970 -1.7330" Properties=species:S:1:pos:R:3 comment="CoWC2N, optimized geometry, DFT GGA-PBE" formation_energy_uncorrected_ev_per_atom=1.753 e_tot_ev_per_atom=-7.61 dos_at_fermi_per_ev_cell=3.3 pbc="T T T"
C 1.5587 -0.9985 -0.8665
C -0.0438 -1.3779 1.5090
Co 0.2494 -3.4608 -0.3845
W 0.0000 0.0000 0.0000
N -1.2656 -1.0844 -1.0269